# PBE Na2Ag3Pd3, relaxed
data_Na2Ag3Pd3
_cell_length_a 2.845
_cell_length_b 13.402
_cell_length_c 7.816
_cell_angle_alpha 90.00
_cell_angle_beta 90.00
_cell_angle_gamma 90.00
_symmetry_space_group_name_H-M 'A m m 2'
_symmetry_Int_Tables_number 38
loop_
_symmetry_equiv_pos_as_xyz
'x,y,z'
'-x,-y,z'
'-x,y,z'
'x,-y,z'
'x,y+1/2,z+1/2'
'-x,-y+1/2,z+1/2'
'-x,y+1/2,z+1/2'
'x,-y+1/2,z+1/2'
loop_
_atom_site_label
_atom_site_type_symbol
_atom_site_fract_x
_atom_site_fract_y
_atom_site_fract_z
Na1 Na 0.000 0.121 0.000
Ag1 Ag 0.000 0.000 0.619
Ag2 Ag 0.000 0.174 0.365
Pd1 Pd 0.500 0.000 0.288
Pd2 Pd 0.500 0.182 0.676
# ΔE_f ... -0.05 eV per atom
# Calculated density ... 7.7 g/cm³